MgBO, relaxed, DFT PBE; formation energy from raw total energies = -1.35 eV/atom; offset from the most stable computed form = 0.28 eV/f.u.; crystal system = monoclinic
1.0
9.098 0.000 0.000
0.000 3.080 0.000
-4.234 0.000 4.596
Mg B O
4 4 4
Cartesian
0.000 0.000 0.000
-1.255 1.540 2.254
4.549 1.540 0.000
3.294 0.000 2.254
1.812 1.540 0.517
-1.880 0.000 4.588
6.360 0.000 0.517
2.669 1.540 4.588
0.514 1.540 1.279
-0.751 0.000 3.535
5.063 0.000 1.279
3.798 1.540 3.535